## ScCr2Mo (PBE)

Data for a geometry-optimized ScCr2Mo structure.

Geometry as POSCAR:
```
ScCr2Mo
1.0
3.124 0.000 0.000
0.000 4.481 0.000
0.000 0.000 4.388
Cr Mo Sc
2 1 1
Direct
0.000 0.000 0.000
0.500 0.500 0.000
0.500 0.000 0.500
0.000 0.500 0.500
```

Energy of formation from the pure elements, eV per atom: 0.331
Distance to the lowest polymorph of the same formula, kJ/mol of formula units: 53.7
Calculated density, g cm⁻³: 6.6
Crystal system: orthorhombic

=====

## Ba3SmB9O18 (PBE)

Data for a geometry-optimized Ba3SmB9O18 structure.

Geometry as POSCAR:
```
Ba3SmB9O18
1.0
7.297 0.000 0.000
-3.648 6.319 0.000
0.000 0.000 17.648
Ba Sm B O
6 2 18 36
Direct
0.667 0.333 0.633
0.333 0.667 0.367
0.333 0.667 0.133
0.667 0.333 0.867
0.000 0.000 0.750
0.000 0.000 0.250
0.000 0.000 0.500
0.000 0.000 0.000
0.163 0.452 0.583
0.837 0.548 0.417
0.548 0.711 0.583
0.837 0.548 0.083
0.452 0.289 0.417
0.163 0.452 0.917
0.289 0.837 0.583
0.452 0.289 0.083
0.711 0.163 0.417
0.548 0.711 0.917
0.711 0.163 0.083
0.289 0.837 0.917
0.378 0.496 0.750
0.622 0.504 0.250
0.504 0.882 0.750
0.496 0.118 0.250
0.118 0.622 0.750
0.882 0.378 0.250
0.168 0.459 0.750
0.832 0.541 0.250
0.541 0.709 0.750
0.459 0.291 0.250
0.291 0.832 0.750
0.709 0.168 0.250
0.667 0.079 0.750
0.333 0.921 0.250
0.921 0.587 0.750
0.079 0.413 0.250
0.413 0.333 0.750
0.587 0.667 0.250
0.001 0.254 0.583
0.999 0.746 0.417
0.746 0.748 0.583
0.999 0.746 0.083
0.254 0.252 0.417
0.001 0.254 0.917
0.252 0.999 0.583
0.254 0.252 0.083
0.748 0.001 0.417
0.746 0.748 0.917
0.748 0.001 0.083
0.252 0.999 0.917
0.376 0.501 0.583
0.624 0.499 0.417
0.499 0.875 0.583
0.624 0.499 0.083
0.501 0.125 0.417
0.376 0.501 0.917
0.125 0.624 0.583
0.501 0.125 0.083
0.875 0.376 0.417
0.499 0.875 0.917
0.875 0.376 0.083
0.125 0.624 0.917
```

Formation energy from raw total energies, kJ per mole of atoms: -262.0
Calculated density, g cm⁻³: 3.9
Crystal system: hexagonal

=====

| no. | uncorrected energy (eV per cell) |
| --- | --- |
| 1 | -35.08 |
| 2 | -488.03 |